VOsNF2 | PBE+U | optimized geometry

The structure in POSCAR format:
```
VOsNF2
1.0
3.931 0.000 0.000
0.000 3.931 0.000
0.000 0.000 4.108
V Os N F
1 1 1 2
Direct
0.000 0.000 0.000
0.500 0.500 0.500
0.000 0.000 0.500
0.000 0.500 0.000
0.500 0.000 0.000
```

Summary:
- E: -6.0197 eV/atom
- Volume: 12.70 Å³/atom
- M_tot: 5.44 μB per cell